# 1
The following is a DFT calculation (GGA-PBE) of Si2IrBr after structural relaxation.

Computed properties:
The space group is I-42d, No. 122. The density of states at the Fermi level comes out at 1.6 states/eV/cell. The calculation puts the total magnetization at 0.00 μB/f.u. The uncorrected formation energy comes out at 76 meV/atom.

Lattice parameters (Å, degrees): 6.0316 6.0316 6.9138 64.14 64.14 90.00
Closest atoms and distances in Å follow each position.
Element x y z (fractional)
Br 0.2500 0.7500 0.5000  4 Si 2.86
Si 0.3750 0.2915 0.7500  2 Ir 2.27
Br 0.5000 0.5000 0.0000  4 Si 2.86
Si 0.0415 0.6250 0.2500  2 Ir 2.27
Ir 0.7500 0.2500 0.5000  4 Si 2.27
Si 0.7085 0.1250 0.2500  2 Ir 2.27
Si 0.8750 0.9585 0.7500  2 Ir 2.27
Ir 0.0000 0.0000 0.0000  4 Si 2.27



# 2
The following is a DFT calculation (GGA-PBE) of SiIrBr3 after structural relaxation.

Computed properties:
The space group is Pm-3m, No. 221. The density of states at the Fermi level comes out at 8.7 states/eV/cell. The calculation puts the total magnetization at 2.72 μB/f.u. The uncorrected formation energy comes out at 1022 meV/atom.

Lattice parameters (Å, degrees): 5.1400 5.1400 5.1400 90.00 90.00 90.00
Closest atoms and distances in Å follow each position.
Element x y z (fractional)
Ir 0.5000 0.5000 0.5000  12 Br 3.63
Si 0.0000 0.0000 0.0000  6 Br 2.57
Br 0.0000 0.5000 0.0000  2 Si 2.57
Br 0.5000 0.0000 0.0000  2 Si 2.57
Br 0.0000 0.0000 0.5000  2 Si 2.57



# 3
The following is a DFT calculation (GGA-PBE) of Si2IrBr after structural relaxation.

Computed properties:
The space group is R-3m, No. 166. The density of states at the Fermi level comes out at 1.9 states/eV/cell. The calculation puts the total magnetization at 0.00 μB/f.u. The uncorrected formation energy comes out at -43 meV/atom.

Lattice parameters (Å, degrees): 7.1175 7.1175 7.1175 29.77 29.77 29.77
Closest atoms and distances in Å follow each position.
Element x y z (fractional)
Si 0.4748 0.4748 0.4748  3 Ir 2.42
Ir 0.7500 0.7500 0.7500  6 Si 2.42
Br 0.2500 0.2500 0.2500  6 Si 3.06
Si 0.0252 0.0252 0.0252  3 Ir 2.42



# 4
The following is a DFT calculation (GGA-PBE) of Si2IrBr after structural relaxation.

Computed properties:
The space group is F-43m, No. 216. The density of states at the Fermi level comes out at 3.7 states/eV/cell. The calculation puts the total magnetization at 0.00 μB/f.u. The uncorrected formation energy comes out at 809 meV/atom.

Lattice parameters (Å, degrees): 4.5404 4.5404 4.5404 120.05 120.05 89.92
Closest atoms and distances in Å follow each position.
Element x y z (fractional)
Ir 0.7500 0.2500 0.5000  4 Si 2.78, 4 Br 2.78
Si 0.0000 0.0000 0.0000  4 Ir 2.78, 4 Si 2.78
Br 0.5000 0.5000 0.0000  4 Si 2.78, 4 Ir 2.78
Si 0.2500 0.7500 0.5000  4 Br 2.78, 4 Si 2.78